1.
LaThOs4 | PBE | relaxed

Cell lengths 7.7309, 7.7309, 7.7309 Å; angles 90.00, 90.00, 90.00 degrees
Closest atoms and distances in Å follow each position.
Space group F-43m (No. 216)
Unique sites:
La: 0.0000 0.0000 0.0000 x4  12 Os 3.21, 4 Th 3.35
Th: 0.2500 0.2500 0.7500 x4  12 Os 3.21, 4 La 3.35
Os: 0.1250 0.1250 0.3750 x16  6 Os 2.73

2.
LaTh2Os | PBE | relaxed

Cell lengths 3.6550, 3.6550, 8.3738 Å; angles 90.00, 90.00, 90.00 degrees
Closest atoms and distances in Å follow each position.
Space group P4/mmm (No. 123)
Unique sites:
La: 0.0000 0.0000 0.0000 x1  8 Th 3.63, 4 La 3.66
Th: 0.5000 0.5000 0.3041 x2  4 Os 3.06, 1 Th 3.28
Os: 0.0000 0.0000 0.5000 x1  8 Th 3.06

## Properties
- excess energy over the best structure of this formula in the dataset (meV/atom) = 180.6

3.
LaTh2Os | PBE | relaxed

Cell lengths 4.1156, 4.1156, 26.9933 Å; angles 90.00, 90.00, 120.00 degrees
Closest atoms and distances in Å follow each position.
Space group R3m (No. 160, hexagonal axes)
Unique sites:
La: 0.0000 0.0000 0.0000 x3  6 Th 3.75-3.86, 6 La 4.12
Th: 0.0000 0.0000 0.2261 x3  3 Os 2.81
Th: 0.0000 0.0000 0.4459 x3  3 Os 2.84
Os: 0.0000 0.0000 0.8370 x3  6 Th 2.81-2.84

## Properties
- excess energy over the best structure of this formula in the dataset (meV/atom) = 110.6

4.
LaTh3Os | PBE | relaxed

Cell lengths 5.5864, 5.5864, 5.5864 Å; angles 90.00, 90.00, 90.00 degrees
Closest atoms and distances in Å follow each position.
Space group Pm-3m (No. 221)
Unique sites:
La: 0.0000 0.0000 0.0000 x1  12 Th 3.95
Th: 0.0000 0.5000 0.5000 x3  2 Os 2.79
Os: 0.5000 0.5000 0.5000 x1  6 Th 2.79

5.
LaTh2Os9 | PBE | relaxed

Cell lengths 5.3797, 5.3911, 9.3044 Å; angles 106.75, 91.03, 118.05 degrees
Closest atoms and distances in Å follow each position.
Space group P-1 (No. 2)
Unique sites:
La: 0.0000 0.0000 0.0000 x1  12 Os 3.04-3.40
Th: 0.1367 0.2799 0.4174 x2  12 Os 3.09-3.45, 1 Th 3.38
Os: 0.0824 0.6602 0.2357 x2  7 Os 2.63-2.81
Os: 0.3617 0.6395 0.0060 x2  7 Os 2.55-2.73
Os: 0.4031 0.3368 0.7387 x2  7 Os 2.61-2.78
Os: 0.4256 0.8478 0.7660 x2  7 Os 2.64-2.81
Os: 0.5000 0.0000 0.5000 x1  6 Os 2.67-2.80

6.
LaThOs | PBE | relaxed

Cell lengths 5.0596, 5.0596, 6.7580 Å; angles 90.00, 90.00, 90.00 degrees
Closest atoms and distances in Å follow each position.
Space group P4/nmm (No. 129, origin choice 2)
Unique sites:
La: 0.2500 0.2500 0.1118 x2  1 Os 2.73
Th: 0.2500 0.7500 0.5000 x2  4 Os 2.89
Os: 0.2500 0.2500 0.7081 x2  1 La 2.73, 4 Th 2.89

## Properties
- excess energy over the best structure of this formula in the dataset (meV/atom) = 13.7

7.
LaThOs | PBE | relaxed

Cell lengths 3.6361, 3.6361, 11.6811 Å; angles 90.00, 90.00, 90.00 degrees
Closest atoms and distances in Å follow each position.
Space group I4mm (No. 107)
Unique sites:
La: 0.0000 0.0000 0.0000 x2  4 Os 3.26, 5 Th 3.41-3.54, 4 La 3.64
Th: 0.0000 0.0000 0.7081 x2  4 Os 2.93
Os: 0.0000 0.0000 0.3290 x2  4 Th 2.93, 4 La 3.26

## Properties
- excess energy over the best structure of this formula in the dataset (meV/atom) = 177.2

8.
LaTh2Os | PBE | relaxed

Cell lengths 3.9627, 3.9627, 31.0583 Å; angles 90.00, 90.00, 120.00 degrees
Closest atoms and distances in Å follow each position.
Space group R-3m (No. 166, hexagonal axes)
Unique sites:
La: 0.0000 0.0000 0.0000 x3  2 Th 3.56, 6 La 3.96
Th: 0.0000 0.0000 0.1146 x6  3 Os 2.80
Os: 0.0000 0.0000 0.5000 x3  6 Th 2.80

## Properties
- excess energy over the best structure of this formula in the dataset (meV/atom) = 314.7

9.
LaThZnOs | PBE | relaxed

Cell lengths 7.2507, 7.2507, 7.2507 Å; angles 90.00, 90.00, 90.00 degrees
Closest atoms and distances in Å follow each position.
Space group F-43m (No. 216)
Unique sites:
La: 0.0000 0.0000 0.0000 x4  4 Os 3.14, 4 Zn 3.14
Th: 0.0000 0.0000 0.5000 x4  4 Zn 3.14, 4 Os 3.14
Zn: 0.2500 0.2500 0.2500 x4  4 La 3.14, 4 Th 3.14
Os: 0.2500 0.2500 0.7500 x4  4 Th 3.14, 4 La 3.14

10.
LaTiOs | PBE | relaxed

Cell lengths 4.4152, 4.4152, 6.7883 Å; angles 90.00, 90.00, 90.00 degrees
Closest atoms and distances in Å follow each position.
Space group P4/nmm (No. 129, origin choice 2)
Unique sites:
La: 0.2500 0.2500 0.1422 x2  5 Os 2.99-3.30, 4 Ti 3.28
Ti: 0.2500 0.7500 0.5000 x2  4 Os 2.60
Os: 0.2500 0.2500 0.7015 x2  4 Ti 2.60

11.
LaTi2Os | PBE | relaxed

Cell lengths 6.6214, 6.6214, 6.6214 Å; angles 90.00, 90.00, 90.00 degrees
Closest atoms and distances in Å follow each position.
Space group Fm-3m (No. 225)
Unique sites:
La: 0.0000 0.0000 0.0000 x4  8 Ti 2.87
Ti: 0.2500 0.2500 0.2500 x8  4 La 2.87, 4 Os 2.87
Os: 0.0000 0.0000 0.5000 x4  8 Ti 2.87

## Properties
- excess energy over the best structure of this formula in the dataset (meV/atom) = 0.0

12.
LaTi3Os | PBE | relaxed

Cell lengths 4.8567, 4.8567, 4.8567 Å; angles 90.00, 90.00, 90.00 degrees
Closest atoms and distances in Å follow each position.
Space group Pm-3m (No. 221)
Unique sites:
La: 0.0000 0.0000 0.0000 x1  12 Ti 3.43
Ti: 0.0000 0.5000 0.5000 x3  2 Os 2.43
Os: 0.5000 0.5000 0.5000 x1  6 Ti 2.43

## Properties
- excess energy over the best structure of this formula in the dataset (meV/atom) = 0.0

no.,formation energy (meV per atom),DOS at the Fermi energy (states/eV/cell)
1,-159,17.8
2,-32,6.6
3,-102,16.7
4,24,9.0
5,-65,12.1
6,-211,5.6
7,-47,8.0
8,102,21.0
9,-154,8.9
10,-276,5.8
11,78,25.8
12,150,10.3